# 1
Below is an optimized crystal structure of La8Os3I4N, with properties calculated at the PBE level.

Calculated values
For the total energy, the calculation gives -201.66 eV/cell.

```
data_La8Os3I4N
_chemical_formula_sum 'La16 Os6 I8 N2'
_cell_length_a 14.4159
_cell_length_b 8.3309
_cell_length_c 9.5152
_cell_angle_alpha 90.00
_cell_angle_beta 120.27
_cell_angle_gamma 90.00
_space_group_name_H-M_alt 'C 1 2/m 1'
_space_group_IT_number 12
_space_group_name_Hall '-C 2y'
loop_
_atom_site_label
_atom_site_fract_x
_atom_site_fract_y
_atom_site_fract_z
La1 0.0217 0.2401 0.3253
La2 0.2180 0.0000 0.6744
La3 0.2314 0.5000 0.6938
Os1 0.0000 0.5000 0.5000
Os2 0.2500 0.2500 0.5000
I1 0.0000 0.0000 0.0000
I2 0.0000 0.5000 0.0000
I3 0.2500 0.2500 0.0000
N1 0.0000 0.0000 0.5000
```

# 2
Below is an optimized crystal structure of LaOsI2N, with properties calculated at the PBE level.

Calculated values
For the total energy, the calculation gives -27.87 eV/cell.

```
data_LaOsI2N
_chemical_formula_sum 'La1 Os1 I2 N1'
_cell_length_a 5.7187
_cell_length_b 5.7187
_cell_length_c 3.7909
_cell_angle_alpha 90.00
_cell_angle_beta 90.00
_cell_angle_gamma 90.00
_space_group_name_H-M_alt 'P 4/m m m'
_space_group_IT_number 123
_space_group_name_Hall '-P 4 2'
loop_
_atom_site_label
_atom_site_fract_x
_atom_site_fract_y
_atom_site_fract_z
La1 0.0000 0.0000 0.0000
Os1 0.5000 0.5000 0.5000
I1 0.0000 0.5000 0.5000
N1 0.5000 0.5000 0.0000
```

# 3
Below is an optimized crystal structure of LaOsIN2, with properties calculated at the PBE level.

Calculated values
For the total energy, the calculation gives -26.05 eV/cell.

```
data_LaOsIN2
_chemical_formula_sum 'La1 Os1 I1 N2'
_cell_length_a 4.2155
_cell_length_b 4.2155
_cell_length_c 6.8084
_cell_angle_alpha 90.00
_cell_angle_beta 90.00
_cell_angle_gamma 90.00
_space_group_name_H-M_alt 'P 4/m m m'
_space_group_IT_number 123
_space_group_name_Hall '-P 4 2'
loop_
_atom_site_label
_atom_site_fract_x
_atom_site_fract_y
_atom_site_fract_z
La1 0.0000 0.0000 0.0000
Os1 0.5000 0.5000 0.5000
I1 0.0000 0.0000 0.5000
N1 0.0000 0.5000 0.0000
```

# 4
Below is an optimized crystal structure of LaOsI2N, with properties calculated at the PBE level.

Calculated values
For the total energy, the calculation gives -22.55 eV/cell.

```
data_LaOsI2N
_chemical_formula_sum 'La1 Os1 I2 N1'
_cell_length_a 6.4784
_cell_length_b 6.4784
_cell_length_c 4.1292
_cell_angle_alpha 90.00
_cell_angle_beta 90.00
_cell_angle_gamma 90.00
_space_group_name_H-M_alt 'P 4/m m m'
_space_group_IT_number 123
_space_group_name_Hall '-P 4 2'
loop_
_atom_site_label
_atom_site_fract_x
_atom_site_fract_y
_atom_site_fract_z
La1 0.0000 0.0000 0.0000
Os1 0.5000 0.5000 0.5000
I1 0.0000 0.5000 0.0000
N1 0.0000 0.0000 0.5000
```